(1)
Here is AlV2Pt5 after structural relaxation from Alexandria. Energies are from GGA-PBE.

Lattice parameters (Å, degrees): 5.488 10.979 3.993 90.00 90.00 90.00
Space group Pbam (No. 55)
One atom of each set of equivalent atoms:
Al1 0.000 0.000 0.000 (multiplicity 2)
V1 0.204 0.360 0.500 (multiplicity 4)
Pt1 0.000 0.500 0.000 (multiplicity 2)
Pt2 0.036 0.757 0.000 (multiplicity 4)
Pt3 0.209 0.107 0.500 (multiplicity 4)

Values from the calculation:
Calculated formation energy ... -572.3 meV/atom



(2)
Here is SmTmGe2 after structural relaxation from Alexandria. Energies are from GGA-PBE.

Lattice parameters (Å, degrees): 4.764 4.764 4.036 90.00 90.00 90.00
Space group P4/mmm (No. 123)
One atom of each set of equivalent atoms:
Sm1 0.000 0.000 0.000 (multiplicity 1)
Tm1 0.500 0.500 0.000 (multiplicity 1)
Ge1 0.000 0.500 0.500 (multiplicity 2)

Values from the calculation:
Calculated formation energy ... -618.9 meV/atom



| no. | E (eV per atom) |
| --- | --- |
| 1 | -7.095 |
| 2 | -5.225 |